No. 1
DFT (PBEsol) results for a relaxed Sc3SCl crystal.

abc: 4.8268 4.8268 4.8268
angles: 90.00 90.00 90.00
With the nearest neighbours (Å) after each atom.
Space group Pm-3m (No. 221)
Unique sites:
Sc (0.0000, 0.0000, 0.5000)  2 S 2.41
S (0.0000, 0.0000, 0.0000)  6 Sc 2.41
Cl (0.5000, 0.5000, 0.5000)  12 Sc 3.41

Results
Uncorrected formation energy ... -0.56 eV per atom
D(E_F) ... 8.246 states/eV/f.u.

***

No. 2
DFT (PBEsol) results for a relaxed ScSeS2Cl crystal.

abc: 4.8001 4.8001 4.6947
angles: 90.00 90.00 90.00
With the nearest neighbours (Å) after each atom.
Space group P4/mmm (No. 123)
Unique sites:
Sc (0.0000, 0.0000, 0.0000)  8 S 3.36, 4 Cl 3.39
Se (0.5000, 0.5000, 0.5000)  2 Cl 2.35, 4 S 2.40
S (0.0000, 0.5000, 0.5000)  2 Se 2.40
Cl (0.5000, 0.5000, 0.0000)  2 Se 2.35

Results
Uncorrected formation energy ... -0.08 eV per atom
D(E_F) ... 4.274 states/eV/f.u.

***

No. 3
DFT (PBEsol) results for a relaxed ScSeSCl2 crystal.

abc: 4.9602 4.9602 4.8294
angles: 90.00 90.00 90.00
With the nearest neighbours (Å) after each atom.
Space group P4/mmm (No. 123)
Unique sites:
Sc (0.0000, 0.0000, 0.0000)  8 Cl 3.46, 4 S 3.51
Se (0.5000, 0.5000, 0.5000)  2 S 2.41, 4 Cl 2.48
S (0.5000, 0.5000, 0.0000)  2 Se 2.41
Cl (0.0000, 0.5000, 0.5000)  2 Se 2.48

Results
Uncorrected formation energy ... -0.04 eV per atom
D(E_F) ... 5.801 states/eV/f.u.